# 1
DFT (PBE-GGA) results for NpUPN2 after structural relaxation.

Summary:
Crystal system: tetragonal

Structure (POSCAR):
```
NpUPN2
1.0
3.7276 0.0000 0.0000
0.0000 3.7276 0.0000
0.0000 0.0000 11.4375
Np U P N
2 2 2 4
Direct
0.0000 0.0000 0.0000 Np
0.5000 0.5000 0.5000 Np
0.0000 0.0000 0.2876 U
0.5000 0.5000 0.7876 U
0.0000 0.0000 0.6439 P
0.5000 0.5000 0.1439 P
0.0000 0.5000 0.3894 N
0.0000 0.5000 0.8894 N
0.5000 0.0000 0.3894 N
0.5000 0.0000 0.8894 N
```

---

# 2
DFT (PBE-GGA) results for Np2V2P2N after structural relaxation.

Summary:
Crystal system: tetragonal

Structure (POSCAR):
```
Np2V2P2N
1.0
3.9595 0.0000 0.0000
0.0000 3.9595 0.0000
0.0000 0.0000 14.0127
Np V P N
4 4 4 2
Direct
0.0000 0.0000 0.1687 Np
0.0000 0.0000 0.8313 Np
0.5000 0.5000 0.3313 Np
0.5000 0.5000 0.6687 Np
0.0000 0.5000 0.0000 V
0.0000 0.5000 0.5000 V
0.5000 0.0000 0.0000 V
0.5000 0.0000 0.5000 V
0.0000 0.0000 0.3799 P
0.0000 0.0000 0.6201 P
0.5000 0.5000 0.1201 P
0.5000 0.5000 0.8799 P
0.0000 0.0000 0.0000 N
0.5000 0.5000 0.5000 N
```

---

Energy relative to the elements, uncorrected in eV per atom, matching the order above: -1.158 -0.849